{
  "formula": "Li2FeBr",
  "functional": "PBE",
  "state": "relaxed",
  "lattice_angstrom": [[-1.7091, 5.1063, -1.9571], [-5.1678, 1.1433, -2.1935], [2.5577, -2.4994, 4.4762]],
  "species": ["Li", "Li", "Fe", "Br"],
  "fractional_positions": [[0.0000, 0.0000, 0.0000], [0.2500, 0.7500, 0.5000], [0.7500, 0.2500, 0.5000], [0.5000, 0.5000, 0.0000]]
}



{
  "formula": "Li2FeBr",
  "functional": "PBE",
  "state": "relaxed",
  "lattice_angstrom": [[-2.9970, -0.6621, -1.1465], [1.2892, -2.1259, -2.1421], [0.6961, -6.7499, 2.0785]],
  "species": ["Fe", "Li", "Li", "Br"],
  "fractional_positions": [[0.5000, 0.7500, 0.7500], [0.0000, 0.9946, 0.0045], [0.0000, 0.5054, 0.4955], [0.5000, 0.2500, 0.2500]]
}



{
  "formula": "LiFe4Br",
  "functional": "PBE",
  "state": "relaxed",
  "lattice_angstrom": [[-0.8794, -2.8198, 4.1044], [-3.7581, 1.2273, 3.1530], [-4.1426, -2.8898, 0.2422]],
  "species": ["Br", "Fe", "Fe", "Fe", "Fe", "Li"],
  "fractional_positions": [[0.0000, 0.0000, 0.0000], [0.3781, 0.3781, 0.3781], [0.8656, 0.3781, 0.3781], [0.3781, 0.3781, 0.8656], [0.3781, 0.8656, 0.3781], [0.7500, 0.7500, 0.7500]]
}



These records have density of states at the Fermi level values of 2.88, 2.09, 5.44 states/eV/cell, in the order they appear.
These records have energy relative to the elements, uncorrected values of 0.08, -0.11, 0.51 eV per atom, in the order they appear.
These records have final energy values of -3.416, -3.604, -5.728 eV/atom, in the order they appear.